The following is a meta-GGA SCAN calculation of a PBEsol-optimized structure of SrCaRh2, from the Alexandria database.

The structure in extended XYZ format:
```
4
Lattice="-3.028 -0.417 -1.101 1.044 -4.565 -1.141 -0.578 0.902 6.042" Properties=species:S:1:pos:R:3 pbc="T T T"
Rh -0.100 -0.101 0.312
Rh -2.206 -0.909 1.618
Sr -1.512 -1.530 4.739
Ca -0.315 -3.130 2.052
```

## Properties
Magnetization in μB/atom: 0.000
Energy in eV per cell: -99.92
Formation energy from the elements in eV per atom: -0.1094